[1]
# BeCl

A relaxed structure of BeCl (PBE, Alexandria).

Cell and atoms, written as extended XYZ:
```
2
Lattice="-0.5968 3.2090 -1.8832 0.1437 0.0295 -3.7654 -3.1603 0.4496 -2.0026" Properties=species:S:1:pos:R:3 pbc="T T T"
Be 0.0000 0.0000 0.0000
Cl -2.7100 2.7660 -5.7384
```

[2]
# BeCl4

A relaxed structure of BeCl4 (PBE, Alexandria).

Cell and atoms, written as extended XYZ:
```
5
Lattice="-2.9564 2.9564 2.9564 2.9564 -2.9564 2.9564 2.9564 2.9564 -2.9564" Properties=species:S:1:pos:R:3 pbc="T T T"
Be 0.0000 0.0000 0.0000
Cl -1.4782 1.4782 1.4782
Cl 1.4782 1.4782 1.4782
Cl 1.4782 -1.4782 1.4782
Cl 1.4782 1.4782 -1.4782
```

Record-wise ΔE_f (raw) values, in kJ/mol of atoms: 45 13
Record-wise magnetic moment values, in μB per formula unit: 0.2 0.0
Record-wise energy above the most stable polymorph in this dataset values, in eV per atom: 1.034 0.291